Record 1
The following is a PBE calculation of a relaxed structure of Pm3HoIn3Te8, from the Alexandria database.

Unit cell a=9.4240 b=9.4240 c=9.4240 alpha=56.35 beta=56.35 gamma=56.35
Positions (direct):
Pm 0.0000 0.5000 0.5000
Pm 0.5000 0.0000 0.5000
Pm 0.5000 0.5000 0.0000
Ho 0.0000 0.0000 0.0000
In 0.0000 0.0000 0.5000
In 0.0000 0.5000 0.0000
In 0.5000 0.0000 0.0000
Te 0.2394 0.2394 0.7488
Te 0.2394 0.7488 0.2394
Te 0.2512 0.7606 0.7606
Te 0.2555 0.2555 0.2555
Te 0.7445 0.7445 0.7445
Te 0.7488 0.2394 0.2394
Te 0.7606 0.2512 0.7606
Te 0.7606 0.7606 0.2512

Summary:
E_form (uncorrected), eV/atom: -1.018
SG: R-3m (166)
Spin magnetization, μB per atom: 0.000

---

Record 2
The following is a PBE calculation of a relaxed structure of Pm3Ho3TlIn2, from the Alexandria database.

Unit cell a=9.0641 b=9.0641 c=3.7574 alpha=90.00 beta=90.00 gamma=120.00
Positions (direct):
Pm 0.0000 0.7108 0.0000
Pm 0.2892 0.2892 0.0000
Pm 0.7108 0.0000 0.0000
Ho 0.0000 0.3829 0.5000
Ho 0.3829 0.0000 0.5000
Ho 0.6171 0.6171 0.5000
Tl 0.0000 0.0000 0.5000
In 0.3333 0.6667 0.0000
In 0.6667 0.3333 0.0000

Summary:
SG: P-62m (189)
Spin magnetization, μB per atom: 0.001
Calculated formation energy, eV/f.u.: -2.51

---

Record 3
The following is a PBE calculation of a relaxed structure of PmHoTlIn, from the Alexandria database.

Unit cell a=5.3966 b=5.3966 c=5.3966 alpha=60.00 beta=60.00 gamma=60.00
Positions (direct):
Pm 0.0000 0.0000 0.0000
Ho 0.5000 0.5000 0.5000
Tl 0.7500 0.7500 0.7500
In 0.2500 0.2500 0.2500

Summary:
SG: F-43m (216)
Spin magnetization, μB per atom: 0.000
Calculated formation energy, eV/f.u.: -1.66

---

Record 4
The following is a PBE calculation of a relaxed structure of PmHo2Tm5In, from the Alexandria database.

Unit cell a=10.3188 b=10.3188 c=10.4103 alpha=90.00 beta=90.00 gamma=150.14
Positions (direct):
Pm 0.2091 0.7909 0.5000
Pm 0.7909 0.2091 0.0000
Ho 0.1163 0.8837 0.2096
Ho 0.1162 0.8838 0.7902
Ho 0.8838 0.1162 0.2902
Ho 0.8837 0.1163 0.7096
Tm 0.0108 0.9892 0.4999
Tm 0.2902 0.7098 0.2016
Tm 0.2898 0.7102 0.7984
Tm 0.3858 0.6142 0.4999
Tm 0.5000 0.5000 0.2497
Tm 0.5000 0.5000 0.7497
Tm 0.6142 0.3858 0.9999
Tm 0.7102 0.2898 0.2984
Tm 0.7098 0.2902 0.7016
Tm 0.9892 0.0108 0.9999
In 0.4051 0.5949 0.9995
In 0.5949 0.4051 0.4995

Summary:
SG: Cmc2_1 (36)
Spin magnetization, μB per atom: 0.000
Calculated formation energy, eV/f.u.: 0.01

---

Record 5
The following is a PBE calculation of a relaxed structure of Pm2HoTm5In, from the Alexandria database.

Unit cell a=10.5281 b=10.5281 c=10.3302 alpha=90.00 beta=90.00 gamma=150.98
Positions (direct):
Pm 0.1166 0.8834 0.5351
Pm 0.1166 0.8834 0.9649
Pm 0.8834 0.1166 0.0351
Pm 0.8834 0.1166 0.4649
Ho 0.2109 0.7891 0.2500
Ho 0.7891 0.2109 0.7500
Tm 0.0082 0.9918 0.2500
Tm 0.2871 0.7129 0.5546
Tm 0.2871 0.7129 0.9454
Tm 0.3829 0.6171 0.2500
Tm 0.5000 0.5000 0.0000
Tm 0.5000 0.5000 0.5000
Tm 0.6171 0.3829 0.7500
Tm 0.7129 0.2871 0.0546
Tm 0.7129 0.2871 0.4454
Tm 0.9918 0.0082 0.7500
In 0.4032 0.5968 0.7500
In 0.5968 0.4032 0.2500

Summary:
SG: Cmcm (63)
Spin magnetization, μB per atom: 0.000
Calculated formation energy, eV/f.u.: -0.07

---

Record 6
The following is a PBE calculation of a relaxed structure of PmHoTmIn, from the Alexandria database.

Unit cell a=5.4527 b=5.4527 c=5.4527 alpha=60.00 beta=60.00 gamma=60.00
Positions (direct):
Pm 0.0000 0.0000 0.0000
Ho 0.7500 0.7500 0.7500
Tm 0.2500 0.2500 0.2500
In 0.5000 0.5000 0.5000

Summary:
Excess energy over the best structure of this formula in the dataset, eV/f.u.: 0.23
SG: F-43m (216)
Spin magnetization, μB per atom: 0.349
Calculated formation energy, eV/f.u.: -0.34

---

Record 7
The following is a PBE calculation of a relaxed structure of PmHoTmIn, from the Alexandria database.

Unit cell a=5.4627 b=5.4627 c=5.4627 alpha=60.00 beta=60.00 gamma=60.00
Positions (direct):
Pm 0.0000 0.0000 0.0000
Ho 0.5000 0.5000 0.5000
Tm 0.2500 0.2500 0.2500
In 0.7500 0.7500 0.7500

Summary:
Excess energy over the best structure of this formula in the dataset, eV/f.u.: 0.00
SG: F-43m (216)
Spin magnetization, μB per atom: 0.157
Calculated formation energy, eV/f.u.: -0.57

---

Record 8
The following is a PBE calculation of a relaxed structure of PmHo6Tm3In2, from the Alexandria database.

Unit cell a=6.0574 b=6.0574 c=11.3904 alpha=95.08 beta=95.08 gamma=119.93
Positions (direct):
Pm 0.0000 0.0000 0.0000
Ho 0.0818 0.4198 0.2473
Ho 0.2555 0.2555 0.7526
Ho 0.4198 0.0818 0.2473
Ho 0.5802 0.9182 0.7527
Ho 0.7445 0.7445 0.2474
Ho 0.9182 0.5802 0.7527
Tm 0.1668 0.8332 0.5000
Tm 0.5000 0.5000 0.5000
Tm 0.8332 0.1668 0.5000
In 0.3337 0.6663 0.0000
In 0.6663 0.3337 0.0000

Summary:
SG: C2/m (12)
Spin magnetization, μB per atom: 0.000
Calculated formation energy, eV/f.u.: -1.00

---

Record 9
The following is a PBE calculation of a relaxed structure of Pm6Y2Ho3In, from the Alexandria database.

Unit cell a=6.1789 b=6.1789 c=11.7893 alpha=95.05 beta=95.05 gamma=120.10
Positions (direct):
Pm 0.0827 0.4098 0.7490
Pm 0.2439 0.2439 0.2496
Pm 0.4098 0.0827 0.7490
Pm 0.5902 0.9173 0.2510
Pm 0.7561 0.7561 0.7504
Pm 0.9173 0.5902 0.2510
Y 0.3337 0.6663 0.5000
Y 0.6663 0.3337 0.5000
Ho 0.1677 0.8323 0.0000
Ho 0.5000 0.5000 0.0000
Ho 0.8323 0.1677 0.0000
In 0.0000 0.0000 0.5000

Summary:
SG: C2/m (12)
Spin magnetization, μB per atom: 0.000
Calculated formation energy, eV/f.u.: -0.47

---

Record 10
The following is a PBE calculation of a relaxed structure of PmYHoIn, from the Alexandria database.

Unit cell a=5.4933 b=5.4933 c=5.4933 alpha=60.00 beta=60.00 gamma=60.00
Positions (direct):
Pm 0.0000 0.0000 0.0000
Y 0.5000 0.5000 0.5000
Ho 0.2500 0.2500 0.2500
In 0.7500 0.7500 0.7500

Summary:
Excess energy over the best structure of this formula in the dataset, eV/f.u.: 0.48
SG: F-43m (216)
Spin magnetization, μB per atom: 0.275
Calculated formation energy, eV/f.u.: -0.60

---

Record 11
The following is a PBE calculation of a relaxed structure of Pm6Y3Ho2In, from the Alexandria database.

Unit cell a=6.2018 b=6.2018 c=11.7709 alpha=95.08 beta=95.08 gamma=120.12
Positions (direct):
Pm 0.0816 0.4094 0.2460
Pm 0.2457 0.2457 0.7527
Pm 0.4094 0.0816 0.2460
Pm 0.5906 0.9184 0.7540
Pm 0.7543 0.7543 0.2473
Pm 0.9184 0.5906 0.7540
Y 0.1673 0.8327 0.5000
Y 0.5000 0.5000 0.5000
Y 0.8327 0.1673 0.5000
Ho 0.3338 0.6662 0.0000
Ho 0.6662 0.3338 0.0000
In 0.0000 0.0000 0.0000

Summary:
SG: C2/m (12)
Spin magnetization, μB per atom: 0.000
Calculated formation energy, eV/f.u.: -0.42

---

Record 12
The following is a PBE calculation of a relaxed structure of PmYHoIn, from the Alexandria database.

Unit cell a=4.8518 b=4.8754 c=4.9245 alpha=90.00 beta=90.00 gamma=90.00
Positions (direct):
Pm 0.0000 0.0000 0.0000
Y 0.5000 0.0000 0.5000
Ho 0.5000 0.5000 0.0000
In 0.0000 0.5000 0.5000

Summary:
Excess energy over the best structure of this formula in the dataset, eV/f.u.: 0.00
SG: Pmmm (47)
Spin magnetization, μB per atom: 0.139
Calculated formation energy, eV/f.u.: -1.08

---

Record 13
The following is a PBE calculation of a relaxed structure of PmHoZnIn, from the Alexandria database.

Unit cell a=5.2604 b=5.2604 c=5.2604 alpha=60.00 beta=60.00 gamma=60.00
Positions (direct):
Pm 0.0000 0.0000 0.0000
Ho 0.5000 0.5000 0.5000
Zn 0.7500 0.7500 0.7500
In 0.2500 0.2500 0.2500

Summary:
Excess energy over the best structure of this formula in the dataset, eV/f.u.: 0.10
SG: F-43m (216)
Spin magnetization, μB per atom: 0.000
Calculated formation energy, eV/f.u.: -1.56

---

Record 14
The following is a PBE calculation of a relaxed structure of PmHoZnIn, from the Alexandria database.

Unit cell a=3.6741 b=3.6741 c=7.5327 alpha=90.00 beta=90.00 gamma=90.00
Positions (direct):
Pm 0.0000 0.0000 0.0000
Ho 0.0000 0.0000 0.4607
Zn 0.5000 0.5000 0.2471
In 0.5000 0.5000 0.7202

Summary:
Excess energy over the best structure of this formula in the dataset, eV/f.u.: 0.00
SG: P4mm (99)
Spin magnetization, μB per atom: 0.000
Calculated formation energy, eV/f.u.: -1.66

---

Record 15
The following is a PBE calculation of a relaxed structure of Pr3HoIn2, from the Alexandria database.

Unit cell a=5.3435 b=10.1655 c=6.8724 alpha=90.00 beta=90.00 gamma=90.00
Positions (direct):
Pr 0.0000 0.0361 0.0000
Pr 0.0000 0.3279 0.3410
Pr 0.0000 0.6721 0.8410
Pr 0.0000 0.9639 0.5000
Pr 0.5000 0.1829 0.7295
Pr 0.5000 0.8171 0.2295
Ho 0.5000 0.4609 0.0662
Ho 0.5000 0.5391 0.5662
In 0.0000 0.3572 0.8278
In 0.0000 0.6428 0.3278
In 0.5000 0.1469 0.2455
In 0.5000 0.8531 0.7455

Summary:
Excess energy over the best structure of this formula in the dataset, eV/f.u.: 0.00
SG: Pmc2_1 (26)
Spin magnetization, μB per atom: 0.000
Calculated formation energy, eV/f.u.: -2.07

---

Record 16
The following is a PBE calculation of a relaxed structure of Pr3HoIn2, from the Alexandria database.

Unit cell a=10.2016 b=10.2016 c=10.2016 alpha=160.60 beta=146.56 gamma=38.95
Positions (direct):
Pr 0.0000 0.0000 0.0000
Pr 0.3203 0.8203 0.5000
Pr 0.6797 0.1797 0.5000
Ho 0.5000 0.0000 0.5000
In 0.1490 0.6490 0.5000
In 0.8510 0.3510 0.5000

Summary:
Excess energy over the best structure of this formula in the dataset, eV/f.u.: 2.34
SG: Immm (71)
Spin magnetization, μB per atom: 0.000
Calculated formation energy, eV/f.u.: 0.26

---

Record 17
The following is a PBE calculation of a relaxed structure of Pr3HoIn4, from the Alexandria database.

Unit cell a=3.8446 b=3.8446 c=15.6228 alpha=90.00 beta=90.00 gamma=90.00
Positions (direct):
Pr 0.0000 0.0000 0.0000
Pr 0.0000 0.0000 0.2570
Pr 0.0000 0.0000 0.7430
Ho 0.0000 0.0000 0.5000
In 0.5000 0.5000 0.1285
In 0.5000 0.5000 0.3868
In 0.5000 0.5000 0.6132
In 0.5000 0.5000 0.8715

Summary:
Excess energy over the best structure of this formula in the dataset, eV/f.u.: 0.00
SG: P4/mmm (123)
Spin magnetization, μB per atom: 0.000
Calculated formation energy, eV/f.u.: -3.90

---

Record 18
The following is a PBE calculation of a relaxed structure of Pr3HoIn3, from the Alexandria database.

Unit cell a=6.8215 b=6.8215 c=9.8547 alpha=91.15 beta=91.15 gamma=104.61
Positions (direct):
Pr 0.1804 0.8196 0.0000
Pr 0.2370 0.7630 0.5000
Pr 0.4054 0.4054 0.1810
Pr 0.5946 0.5946 0.8190
Pr 0.7630 0.2370 0.5000
Pr 0.8196 0.1804 0.0000
Ho 0.2799 0.2799 0.5400
Ho 0.7201 0.7201 0.4600
In 0.0221 0.0221 0.2701
In 0.0527 0.4780 0.7597
In 0.4780 0.0527 0.7597
In 0.5220 0.9473 0.2403
In 0.9473 0.5220 0.2403
In 0.9779 0.9779 0.7299

Summary:
Excess energy over the best structure of this formula in the dataset, eV/f.u.: 0.34
SG: C2/m (12)
Spin magnetization, μB per atom: 0.000
Calculated formation energy, eV/f.u.: -1.96

---

Record 19
The following is a PBE calculation of a relaxed structure of PrHo6In, from the Alexandria database.

Unit cell a=6.5955 b=6.5955 c=6.6150 alpha=90.05 beta=90.05 gamma=120.72
Positions (direct):
Pr 0.0000 0.0000 0.0000
Ho 0.0104 0.5747 0.2559
Ho 0.4253 0.9896 0.7441
Ho 0.4398 0.4398 0.2559
Ho 0.5602 0.5602 0.7441
Ho 0.5747 0.0104 0.2559
Ho 0.9896 0.4253 0.7441
In 0.0000 0.0000 0.5000

Summary:
Excess energy over the best structure of this formula in the dataset, eV/f.u.: 1.53
SG: C2/m (12)
Spin magnetization, μB per atom: 0.000
Calculated formation energy, eV/f.u.: 0.72

---

Record 20
The following is a PBE calculation of a relaxed structure of Pr3Ho2In3, from the Alexandria database.

Unit cell a=11.1462 b=11.1462 c=11.1462 alpha=157.23 beta=153.40 gamma=35.29
Positions (direct):
Pr 0.0000 0.0000 0.0000
Pr 0.3789 0.8789 0.5000
Pr 0.6211 0.1211 0.5000
Ho 0.2370 0.2370 0.0000
Ho 0.7630 0.7630 0.0000
In 0.1294 0.6294 0.5000
In 0.5000 0.5000 0.0000
In 0.8706 0.3706 0.5000

Summary:
SG: Immm (71)
Spin magnetization, μB per atom: 0.000
Calculated formation energy, eV/f.u.: -2.80